No. 1
DFT (PBE) results for a relaxed Ac3CoAg crystal.

Total magnetic moment   0.00 Bohr magnetons per cell
VASP energy   -4.59 eV per atom
Space-group type   Pnma (62)
Energy of formation   -133 meV per atom
Fermi-level density of states   17.38 states/eV/cell

The structure in extended XYZ format:
```
20
Lattice="-3.354 0.482 -2.710 -6.117 -1.321 7.338 -0.015 15.454 2.769" Properties=species:S:1:pos:R:3 pbc="T T T"
Ac -8.631 0.692 5.596
Ac -3.631 10.925 1.228
Ag -3.160 5.062 -0.399
Ac -6.691 11.842 5.180
Ac -2.795 2.773 2.217
Ag -3.270 12.163 4.476
Co -1.947 0.591 0.779
Co -7.539 14.024 6.618
Ac -4.577 14.936 3.114
Ac -0.856 13.923 1.801
Ac -3.910 8.836 4.676
Co -4.474 8.377 1.819
Ag -6.327 9.554 7.796
Ac -4.909 -0.321 4.283
Ac -5.856 3.691 6.169
Ac -5.576 5.779 2.721
Ac -7.630 7.424 5.555
Co -5.012 6.238 5.578
Ac -1.857 7.192 1.842
Ag -6.216 2.452 2.921
```


No. 2
DFT (PBE) results for a relaxed HoVZn4 crystal.

Total magnetic moment   3.21 Bohr magnetons per cell
VASP energy   -3.30 eV per atom
Space-group type   F-43m (216)
Energy of formation   -168 meV per atom
Fermi-level density of states   2.87 states/eV/cell

The structure in extended XYZ format:
```
6
Lattice="-0.853 4.073 -3.150 0.226 -0.614 -5.178 -4.368 0.226 -2.848" Properties=species:S:1:pos:R:3 pbc="T T T"
Zn -0.928 2.193 -5.561
Zn -3.240 2.615 -4.388
V 0.000 0.000 0.000
Zn -2.697 0.256 -5.409
Ho -1.249 0.921 -2.794
Zn -3.127 2.307 -6.994
```


No. 3
DFT (PBE) results for a relaxed CaTaOs2 crystal.

Total magnetic moment   0.00 Bohr magnetons per cell
VASP energy   -8.74 eV per atom
Space-group type   P4mm (99)
Energy of formation   343 meV per atom
Fermi-level density of states   3.18 states/eV/cell

The structure in extended XYZ format:
```
4
Lattice="-2.136 0.920 -1.651 1.562 -0.545 -2.324 -3.372 -8.372 -0.302" Properties=species:S:1:pos:R:3 pbc="T T T"
Ta -1.540 -3.824 -0.138
Os -0.136 -0.338 -0.012
Ca -2.916 -6.339 -2.223
Os -1.040 -1.682 -2.055
```


No. 4
DFT (PBE) results for a relaxed AcZn2Cd2Pt crystal.

Total magnetic moment   0.00 Bohr magnetons per cell
VASP energy   -2.72 eV per atom
Space-group type   I4/mmm (139)
Energy of formation   -299 meV per atom
Fermi-level density of states   3.63 states/eV/cell

The structure in extended XYZ format:
```
6
Lattice="4.297 0.000 0.000 0.000 4.297 0.000 -2.149 -2.149 8.567" Properties=species:S:1:pos:R:3 pbc="T T T"
Cd 0.000 2.149 4.284
Pt 0.000 0.000 0.000
Ac 2.149 2.149 0.000
Zn 0.000 0.000 2.461
Zn 2.149 2.149 6.106
Cd 2.149 0.000 4.284
```


No. 5
DFT (PBE) results for a relaxed Pm2Al3Ga4 crystal.

Total magnetic moment   0.00 Bohr magnetons per cell
VASP energy   -4.11 eV per atom
Space-group type   Cmce (64)
Energy of formation   -464 meV per atom
Fermi-level density of states   7.04 states/eV/cell

The structure in extended XYZ format:
```
18
Lattice="-3.189 -4.752 1.286 4.833 -4.445 -4.441 6.071 1.050 5.557" Properties=species:S:1:pos:R:3 pbc="T T T"
Al 0.000 0.000 0.000
Al 6.935 -2.890 -0.172
Ga 0.884 -2.439 -0.134
Ga 8.426 -3.332 1.893
Al 2.375 -2.881 1.931
Al 0.822 -4.598 -1.578
Pm 3.843 -2.905 -1.207
Ga -0.710 -4.815 0.509
Ga 6.278 -4.766 -2.044
Pm 3.885 -1.411 4.419
Ga 5.105 -2.912 1.898
Pm 3.830 -6.736 -2.017
Ga 1.437 -3.381 4.446
Al 5.340 -5.266 0.471
Ga 2.611 -5.235 0.504
Ga 6.831 -5.708 2.536
Al 0.781 -5.257 2.574
Pm 3.873 -5.242 3.609
```


No. 6
DFT (PBE) results for a relaxed KTlIn2Pt crystal.

Total magnetic moment   0.00 Bohr magnetons per cell
VASP energy   -3.13 eV per atom
Space-group type   P4/mmm (123)
Energy of formation   -137 meV per atom
Fermi-level density of states   2.38 states/eV/cell

The structure in extended XYZ format:
```
5
Lattice="-4.558 1.423 2.061 -0.916 -4.930 1.377 2.722 0.985 5.339" Properties=species:S:1:pos:R:3 pbc="T T T"
K 1.361 0.493 2.670
In -0.458 -2.465 0.688
Tl -1.376 -1.261 4.389
Pt 0.000 0.000 0.000
In -2.279 0.711 1.030
```


No. 7
DFT (PBE) results for a relaxed Y2FeTc crystal.

Total magnetic moment   2.66 Bohr magnetons per cell
VASP energy   -7.57 eV per atom
Space-group type   I-4m2 (119)
Energy of formation   371 meV per atom
Fermi-level density of states   6.50 states/eV/cell

The structure in extended XYZ format:
```
4
Lattice="-4.101 0.484 -3.896 -5.154 -2.037 1.233 3.875 3.353 2.443" Properties=species:S:1:pos:R:3 pbc="T T T"
Tc -2.427 1.530 -1.392
Fe -4.627 -0.776 -1.331
Y -2.953 0.270 1.173
Y 0.000 0.000 0.000
```


No. 8
DFT (PBE) results for a relaxed TbPmNi2H8 crystal.

Total magnetic moment   0.00 Bohr magnetons per cell
VASP energy   -4.30 eV per atom
Space-group type   R-3m (166)
Fermi-level density of states   3.32 states/eV/cell

The structure in extended XYZ format:
```
12
Lattice="-0.737 -4.257 1.188 3.041 -2.203 2.446 -2.035 -0.206 6.450" Properties=species:S:1:pos:R:3 pbc="T T T"
Ni -0.003 -1.618 2.651
Ni 0.271 -5.048 7.432
H -0.446 -3.662 7.321
H 2.087 -3.999 3.868
H 0.714 -3.004 2.763
Pm 0.134 -3.333 5.042
H 0.381 -4.927 3.300
Tb 0.000 0.000 0.000
H -1.819 -2.667 6.216
H -0.113 -1.739 6.784
H -0.723 -1.118 3.997
H 0.991 -5.548 6.087
```


No. 9
DFT (PBE) results for a relaxed LaPr2Sm4Er crystal.

Total magnetic moment   0.00 Bohr magnetons per cell
VASP energy   -4.72 eV per atom
Space-group type   P2/m (10)
Energy of formation   19 meV per atom
Fermi-level density of states   12.66 states/eV/cell

The structure in extended XYZ format:
```
8
Lattice="-1.737 -2.686 -1.782 5.236 -3.496 0.168 -1.655 -5.881 10.480" Properties=species:S:1:pos:R:3 pbc="T T T"
Pr -1.655 -5.881 10.480
La 1.750 -3.091 -0.807
Sm 2.686 -7.012 7.954
Sm -0.787 -6.611 6.972
Sm -0.842 -5.051 0.912
Sm 2.631 -5.452 1.894
Er 1.790 -4.689 5.324
Pr -1.696 -4.284 4.349
```


No. 10
DFT (PBE) results for a relaxed SmEr2PaN4 crystal.

Total magnetic moment   0.00 Bohr magnetons per cell
VASP energy   -8.75 eV per atom
Formation energy without anion corrections   -1674 meV/atom
Space-group type   P2/m (10)
Fermi-level density of states   3.50 states/eV/cell

The structure in extended XYZ format:
```
8
Lattice="3.495 0.000 0.000 0.000 6.032 0.126 0.000 -2.090 5.630" Properties=species:S:1:pos:R:3 pbc="T T T"
Er 0.000 1.971 2.878
Er 1.748 -1.045 2.815
N 1.748 3.019 4.321
N 0.000 4.115 1.502
Pa 0.000 0.000 0.000
Sm 1.748 3.016 0.063
N 1.748 0.923 1.435
N 0.000 -0.173 4.254
```


No. 11
DFT (PBE) results for a relaxed CdP3 crystal.

Total magnetic moment   0.00 Bohr magnetons per cell
VASP energy   -3.73 eV per atom
Space-group type   Cmmm (65)
Energy of formation   558 meV per atom
Fermi-level density of states   1.43 states/eV/cell

The structure in extended XYZ format:
```
4
Lattice="2.989 -0.021 0.000 -1.399 2.641 0.000 0.000 0.000 9.122" Properties=species:S:1:pos:R:3 pbc="T T T"
P 0.795 1.310 2.824
Cd 0.000 0.000 0.000
P 0.795 1.310 6.298
P 0.000 0.000 4.561
```


No. 12
DFT (PBE) results for a relaxed Pm2TeO crystal.

Total magnetic moment   0.00 Bohr magnetons per cell
VASP energy   -6.28 eV per atom
Formation energy without anion corrections   -1885 meV/atom
Space-group type   P2/c (13)
Fermi-level density of states   7.43 states/eV/cell

The structure in extended XYZ format:
```
16
Lattice="-0.721 -0.974 -6.440 -2.331 -5.533 1.098 -9.664 4.768 0.361" Properties=species:S:1:pos:R:3 pbc="T T T"
Te -2.559 -2.377 -1.470
Pm -4.065 0.641 -5.199
Pm -8.651 -2.381 0.218
O -5.166 -1.362 -4.952
O -2.072 -0.697 -5.399
O -10.644 -1.043 0.418
Pm -9.581 0.908 -0.175
Te -10.157 0.637 -3.511
Pm -3.305 -5.195 -0.180
Pm -7.404 -0.628 -4.408
Te -3.896 1.376 -1.888
O -7.550 -0.378 -0.029
Pm -5.312 -1.112 -0.573
Pm -3.135 -2.648 -4.806
Pm -9.410 3.455 -4.801
Te -8.819 -3.116 -3.093
```


No. 13
DFT (PBE) results for a relaxed TiAl6Ga crystal.

Total magnetic moment   0.00 Bohr magnetons per cell
VASP energy   -4.09 eV per atom
Space-group type   C2/m (12)
Energy of formation   82 meV per atom
Fermi-level density of states   3.68 states/eV/cell

The structure in extended XYZ format:
```
8
Lattice="4.633 0.596 -0.083 0.942 4.575 -0.083 1.479 1.372 7.135" Properties=species:S:1:pos:R:3 pbc="T T T"
Al 5.866 3.623 4.893
Al 3.416 3.168 6.630
Ga 3.527 3.271 3.485
Al 3.000 0.965 2.077
Ti 0.000 0.000 0.000
Al 4.053 5.577 4.893
Al 1.188 2.919 2.077
Al 3.638 3.374 0.340
```


No. 14
DFT (PBE) results for a relaxed InSbI6 crystal.

Total magnetic moment   0.00 Bohr magnetons per cell
VASP energy   -2.34 eV per atom
Formation energy without anion corrections   -316 meV/atom
Space-group type   R-3 (148)

The structure in extended XYZ format:
```
8
Lattice="-0.463 6.919 2.926 -0.376 0.914 7.464 6.467 2.934 3.764" Properties=species:S:1:pos:R:3 pbc="T T T"
I 1.174 3.348 8.507
Sb 0.000 0.000 0.000
I 4.453 7.420 5.646
I 1.271 4.984 4.558
In 2.814 5.384 7.077
I 4.632 3.186 6.211
I 4.356 5.784 9.596
I 0.995 7.581 7.942
```


No. 15
DFT (PBE) results for a relaxed TbTl2Cl5 crystal.

Total magnetic moment   0.00 Bohr magnetons per cell
VASP energy   -4.01 eV per atom
Formation energy without anion corrections   -1684 meV/atom
Space-group type   Pnma (62)
Fermi-level density of states   0.00 states/eV/cell

The structure in extended XYZ format:
```
32
Lattice="-1.672 0.092 -8.127 -6.905 -5.021 1.364 -7.411 10.638 1.645" Properties=species:S:1:pos:R:3 pbc="T T T"
Cl -8.217 -0.330 -1.715
Cl -2.478 -1.107 -2.918
Tl -9.937 4.744 -5.819
Cl -13.510 6.817 -2.200
Cl -11.349 1.258 -0.512
Tl -2.258 1.832 -4.306
Tb -6.184 4.156 -2.307
Cl -11.416 4.961 1.571
Cl -11.417 3.694 -3.102
Tl -9.408 -1.475 1.364
Tl -13.730 3.878 -0.812
Cl -8.524 3.312 -1.070
Tb -1.883 -1.196 -0.236
Cl -8.052 -1.607 -5.576
Cl -4.572 0.749 -6.689
Cl -8.638 9.787 -5.210
Cl -11.463 7.733 -4.652
Tb -9.804 1.553 -2.811
Cl -4.639 4.452 -4.605
Cl -4.570 2.016 -2.015
Cl -7.936 7.316 0.458
Cl -7.464 2.397 -4.047
Cl -5.671 4.184 0.393
Tl -6.580 7.185 -6.482
Tl -6.051 0.966 0.701
Tb -14.104 6.905 -4.882
Cl -7.770 6.040 -3.403
Cl -7.350 -4.077 0.092
Cl -10.317 1.526 -5.511
Tl -10.373 6.319 -1.475
Cl -4.525 -2.023 -0.466
Tl -5.614 -0.609 -3.643
```


No. 16
DFT (PBE) results for a relaxed TbInP2Rh5 crystal.

Total magnetic moment   0.00 Bohr magnetons per cell
VASP energy   -6.73 eV per atom
Space-group type   P4/mmm (123)
Energy of formation   -626 meV per atom
Fermi-level density of states   3.56 states/eV/cell

The structure in extended XYZ format:
```
9
Lattice="4.041 0.000 0.000 0.000 4.041 0.000 0.000 0.000 10.225" Properties=species:S:1:pos:R:3 pbc="T T T"
Tb 0.000 0.000 5.113
Rh 0.000 2.021 8.371
P 2.021 2.021 2.862
P 2.021 2.021 7.363
Rh 0.000 2.021 1.854
Rh 2.021 0.000 1.854
In 0.000 0.000 0.000
Rh 2.021 0.000 8.371
Rh 2.021 2.021 5.113
```


No. 17
DFT (PBE) results for a relaxed Sc2TeP crystal.

Total magnetic moment   0.00 Bohr magnetons per cell
VASP energy   -6.51 eV per atom
Formation energy without anion corrections   -1204 meV/atom
Space-group type   P4/mmm (123)
Fermi-level density of states   1.36 states/eV/cell

The structure in extended XYZ format:
```
4
Lattice="-1.346 -1.576 -3.388 0.005 -3.599 1.672 -5.279 0.794 1.727" Properties=species:S:1:pos:R:3 pbc="T T T"
Te -0.505 -0.591 -1.271
Sc -3.144 -0.194 -0.406
Sc -1.175 -3.179 -2.128
P -3.814 -2.781 -1.264
```


No. 18
DFT (PBE) results for a relaxed Cs2CaBi2Pb crystal.

Total magnetic moment   0.00 Bohr magnetons per cell
VASP energy   -3.03 eV per atom
Space-group type   Ibam (72)
Energy of formation   -505 meV per atom

The structure in extended XYZ format:
```
12
Lattice="-0.826 2.050 7.423 1.211 -7.446 2.191 8.834 4.329 -4.253" Properties=species:S:1:pos:R:3 pbc="T T T"
Pb -0.110 -0.836 4.259
Cs 3.197 -1.650 6.707
Bi 8.055 -2.944 -0.377
Pb 0.495 -4.559 5.355
Cs 6.023 0.583 -1.347
Cs 6.249 -2.198 3.158
Bi 7.023 1.837 2.360
Ca 0.908 -5.584 1.643
Bi 1.164 1.878 5.737
Bi 2.196 -2.904 3.001
Cs 2.971 1.131 2.202
Ca 0.303 -1.861 0.548
```


No. 19
DFT (PBE) results for a relaxed Ru2AuS crystal.

Total magnetic moment   0.00 Bohr magnetons per cell
VASP energy   -6.18 eV per atom
Formation energy without anion corrections   305 meV/atom
Space-group type   I-42d (122)
Fermi-level density of states   8.30 states/eV/cell

The structure in extended XYZ format:
```
8
Lattice="-0.712 -6.772 0.119 5.549 -0.652 -3.894 3.968 -3.836 0.341" Properties=species:S:1:pos:R:3 pbc="T T T"
Ru 1.290 -4.804 -0.335
Ru 6.824 -9.328 -2.778
Au 0.000 0.000 0.000
Ru 5.173 -5.706 -1.429
S 5.967 -4.100 -2.721
Au 2.837 -7.160 -0.714
S 2.418 -3.712 -1.888
Ru 4.321 -2.682 -2.326
```


No. 20
DFT (PBE) results for a relaxed Be4TlOs crystal.

Total magnetic moment   0.00 Bohr magnetons per cell
VASP energy   -4.52 eV per atom
Space-group type   F-43m (216)
Energy of formation   232 meV per atom
Fermi-level density of states   2.52 states/eV/cell

The structure in extended XYZ format:
```
6
Lattice="0.000 3.228 3.228 3.228 0.000 3.228 3.228 3.228 0.000" Properties=species:S:1:pos:R:3 pbc="T T T"
Be 2.436 4.020 4.020
Os 4.843 4.843 4.843
Tl 0.000 0.000 0.000
Be 2.436 2.436 2.436
Be 4.020 4.020 2.436
Be 4.020 2.436 4.020
```